(1)
The following is a PBE-GGA calculation of Be5VCu4 after structural relaxation, from Alexandria.

abc: 2.6774 2.6774 13.9099
angles: 90.00 90.00 90.00
With the nearest neighbours (Å) after each atom.
Fractional coordinates of all 10 atoms:
Be (0.0000, 0.0000, 0.0000)  8 Cu 2.32
Be (0.0000, 0.0000, 0.1925)  8 Cu 2.31-2.33
Be (0.0000, 0.0000, 0.3832)  4 Cu 2.30, 4 V 2.49
Be (0.0000, 0.0000, 0.6168)  4 Cu 2.30, 4 V 2.49
Be (0.0000, 0.0000, 0.8075)  8 Cu 2.31-2.33
V (0.5000, 0.5000, 0.5000)  8 Be 2.49, 4 V 2.68
Cu (0.5000, 0.5000, 0.0969)  8 Be 2.31-2.32
Cu (0.5000, 0.5000, 0.2899)  8 Be 2.30-2.33
Cu (0.5000, 0.5000, 0.7101)  8 Be 2.30-2.33
Cu (0.5000, 0.5000, 0.9031)  8 Be 2.31-2.32

Summary:
DOS at the Fermi energy = 4.45 states/eV/cell
formation enthalpy at 0 K = -0.09 eV/atom
crystal system = tetragonal
calculated total energy = -4.504 eV per atom



(2)
The following is a PBE-GGA calculation of Be15V2Cu2 after structural relaxation, from Alexandria.

abc: 5.5623 5.5623 5.5623
angles: 82.92 82.92 82.92
With the nearest neighbours (Å) after each atom.
Fractional coordinates of all 19 atoms:
Be (0.0000, 0.0000, 0.5000)  8 Be 2.12-2.16, 2 Cu 2.22
Be (0.0000, 0.3046, 0.6954)  8 Be 2.12-2.24
Be (0.0000, 0.5000, 0.0000)  8 Be 2.12-2.16, 2 Cu 2.22
Be (0.0000, 0.6954, 0.3046)  8 Be 2.12-2.24
Be (0.1667, 0.6505, 0.6505)  8 Be 2.07-2.23
Be (0.3046, 0.0000, 0.6954)  8 Be 2.12-2.24
Be (0.3046, 0.6954, 0.0000)  8 Be 2.12-2.24
Be (0.3495, 0.3495, 0.8333)  8 Be 2.07-2.23
Be (0.3495, 0.8333, 0.3495)  8 Be 2.07-2.23
Be (0.5000, 0.0000, 0.0000)  8 Be 2.12-2.16, 2 Cu 2.22
Be (0.6505, 0.1667, 0.6505)  8 Be 2.07-2.23
Be (0.6505, 0.6505, 0.1667)  8 Be 2.07-2.23
Be (0.6954, 0.0000, 0.3046)  8 Be 2.12-2.24
Be (0.6954, 0.3046, 0.0000)  8 Be 2.12-2.24
Be (0.8333, 0.3495, 0.3495)  8 Be 2.07-2.23
V (0.3473, 0.3473, 0.3473)  15 Be 2.56-2.86, 1 Cu 2.58
V (0.6527, 0.6527, 0.6527)  15 Be 2.56-2.86, 1 Cu 2.58
Cu (0.1076, 0.1076, 0.1076)  6 Be 2.22-2.32, 1 Cu 2.31
Cu (0.8924, 0.8924, 0.8924)  6 Be 2.22-2.32, 1 Cu 2.31

Summary:
DOS at the Fermi energy = 7.86 states/eV/cell
formation enthalpy at 0 K = -0.12 eV/atom
crystal system = trigonal
calculated total energy = -4.454 eV per atom



(3)
The following is a PBE-GGA calculation of Be2VCu after structural relaxation, from Alexandria.

abc: 8.7233 8.7233 8.7233
angles: 16.20 16.20 16.20
With the nearest neighbours (Å) after each atom.
Fractional coordinates of all 4 atoms:
Be (0.0931, 0.0931, 0.0931)  3 Cu 2.37, 1 V 2.40, 6 Be 2.46
Be (0.9069, 0.9069, 0.9069)  3 Cu 2.37, 1 V 2.40, 6 Be 2.46
V (0.0000, 0.0000, 0.0000)  2 Be 2.40, 6 V 2.46
Cu (0.5000, 0.5000, 0.5000)  6 Be 2.37, 6 Cu 2.46

Summary:
DOS at the Fermi energy = 2.51 states/eV/cell
formation enthalpy at 0 K = 0.40 eV/atom
crystal system = trigonal
calculated total energy = -4.767 eV per atom
energy above the lowest structure with this stoichiometry = 46.9 kJ/mol of atoms



(4)
The following is a PBE-GGA calculation of BeVCu after structural relaxation, from Alexandria.

abc: 2.6046 3.5889 7.3319
angles: 90.00 100.16 90.00
With the nearest neighbours (Å) after each atom.
Fractional coordinates of all 6 atoms:
Be (0.0000, 0.0000, 0.0000)  2 Be 2.14, 5 Cu 2.23-2.36
Be (0.0813, 0.5000, 0.1605)  2 Be 2.14, 2 Cu 2.36
V (0.2514, 0.5000, 0.5021)  1 Be 2.47, 4 Cu 2.60, 6 V 2.60-2.66
V (0.6502, 0.0000, 0.2999)  6 Be 2.43-2.53, 6 V 2.60-2.66
Cu (0.4453, 0.5000, 0.8879)  6 Be 2.36, 6 Cu 2.60-2.64
Cu (0.8463, 0.0000, 0.6910)  1 Be 2.23

Summary:
DOS at the Fermi energy = 3.49 states/eV/cell
formation enthalpy at 0 K = 0.00 eV/atom
crystal system = monoclinic
calculated total energy = -5.642 eV per atom
energy above the lowest structure with this stoichiometry = 6.5 kJ/mol of atoms



(5)
The following is a PBE-GGA calculation of Be3VCu after structural relaxation, from Alexandria.

abc: 4.1710 4.1710 4.1710
angles: 90.00 90.00 90.00
With the nearest neighbours (Å) after each atom.
Fractional coordinates of all 5 atoms:
Be (0.0000, 0.0000, 0.5000)  2 V 2.09
Be (0.0000, 0.5000, 0.0000)  2 V 2.09
Be (0.5000, 0.0000, 0.0000)  2 V 2.09
V (0.0000, 0.0000, 0.0000)  6 Be 2.09
Cu (0.5000, 0.5000, 0.5000)  12 Be 2.95

Summary:
DOS at the Fermi energy = 5.87 states/eV/cell
formation enthalpy at 0 K = 1.61 eV/atom
crystal system = cubic
calculated total energy = -3.272 eV per atom
energy above the lowest structure with this stoichiometry = 96.5 kJ/mol of atoms



(6)
The following is a PBE-GGA calculation of BeVCu after structural relaxation, from Alexandria.

abc: 4.5081 4.5081 6.4484
angles: 110.66 110.66 33.47
With the nearest neighbours (Å) after each atom.
Fractional coordinates of all 6 atoms:
Be (0.0000, 0.0000, 0.0000)  2 Be 2.19, 4 Cu 2.30-2.31
Be (0.6412, 0.6412, 0.8609)  2 Be 2.19, 2 Cu 2.32
V (0.3093, 0.3093, 0.6860)  5 Be 2.46-2.67, 5 V 2.53-2.60, 2 Cu 2.67
V (0.9889, 0.9889, 0.5234)  2 Be 2.46, 5 V 2.53-2.60, 5 Cu 2.70-2.72
Cu (0.3362, 0.3362, 0.1308)  4 Be 2.30-2.32, 3 Cu 2.57
Cu (0.6561, 0.6561, 0.3019)  2 Be 2.31, 3 Cu 2.57

Summary:
DOS at the Fermi energy = 3.29 states/eV/cell
formation enthalpy at 0 K = 0.02 eV/atom
crystal system = monoclinic
calculated total energy = -5.625 eV per atom
energy above the lowest structure with this stoichiometry = 8.2 kJ/mol of atoms